# 1
A relaxed La2Th4Bi3N2 crystal, computed with GGA-PBE.

As for the density of states at the Fermi level: 18.323 states/eV per cell. Its crystal system is tetragonal. The total energy comes out at -156.00 eV for the cell shown. The calculation puts the calculated density at 9.69 g/cm3. For the total magnetization, the calculation gives 0.00 μB/cell. For the uncorrected formation energy, the calculation gives -0.925 eV per atom. For the volume, the calculation gives 637.5 Å³ per cell.

The structure belongs to space group I4/mmm (No. 139); the cell edges are 4.8118, 4.8118 and 27.5340 Å and the angles 90.00°, 90.00° and 90.00°. Symmetry generates all atoms from La at (0.0000, 0.0000, 0.1966), Th at (0.0000, 0.5000, 0.0854), Bi at (0.0000, 0.0000, 0.3228), Bi at (0.0000, 0.0000, 0.5000) and N at (0.0000, 0.0000, 0.1035).

# 2
A relaxed TbHoRhPb crystal, computed with GGA-PBE.

As for the density of states at the Fermi level: 12.693 states/eV per cell. The value obtained for the calculated formation energy is -2.1 eV/f.u. Its crystal system is cubic. The total energy comes out at -89.35 eV for the cell shown. The calculation puts the calculated density at 10.92 g/cm3. For the total magnetization, the calculation gives 0.00 μB/cell. As for the polymorph energy (0 for the lowest one): 167.7 meV per atom. For the volume, the calculation gives 385.5 Å³ per cell.

The structure belongs to space group F-43m (No. 216); the cell edges are 7.2777, 7.2777 and 7.2777 Å and the angles 90.00°, 90.00° and 90.00°. Symmetry generates all atoms from Tb at (0.0000, 0.0000, 0.0000), Ho at (0.0000, 0.0000, 0.5000), Rh at (0.2500, 0.2500, 0.7500) and Pb at (0.2500, 0.2500, 0.2500).

# 3
A relaxed La7Tb12Al crystal, computed with GGA-PBE.

As for the density of states at the Fermi level: 96.867 states/eV per cell. The value obtained for the calculated formation energy is 1.1 eV/f.u. Its crystal system is trigonal. The total energy comes out at -278.07 eV for the cell shown. The calculation puts the calculated density at 7.33 g/cm3. For the total magnetization, the calculation gives 0.00 μB/cell. For the volume, the calculation gives 1975.9 Å³ per cell.

The structure belongs to space group R-3m (No. 166, hexagonal axes); the cell edges are 13.3381, 13.3381 and 12.8246 Å and the angles 90.00°, 90.00° and 120.00°. Symmetry generates all atoms from La at (0.0000, 0.0000, 0.0000), La at (0.0909, 0.1817, 0.2750), Tb at (0.0000, 0.2534, 0.5000), Tb at (0.0417, 0.5209, 0.6185) and Al at (0.0000, 0.0000, 0.5000).

# 4
A relaxed TlOsCl2F6 crystal, computed with GGA-PBE.

Its crystal system is orthorhombic. The total energy comes out at -86.62 eV for the cell shown. The calculation puts the calculated density at 3.86 g/cm3. For the total magnetization, the calculation gives 6.00 μB/cell. For the uncorrected formation energy, the calculation gives -1.479 eV per atom. For the volume, the calculation gives 499.1 Å³ per cell.

The structure belongs to space group Pmmn (No. 59, origin choice 2); the cell edges are 6.4896, 9.0538 and 8.4937 Å and the angles 90.00°, 90.00° and 90.00°. Symmetry generates all atoms from Tl at (0.2500, 0.2500, 0.2341), Os at (0.2500, 0.7500, 0.1563), Cl at (0.2500, 0.6397, 0.6464), F at (0.0401, 0.7500, 0.3128), F at (0.0403, 0.7500, 0.9959) and F at (0.2500, 0.5377, 0.1547).